Record 1
VGaBi2Pd (PBE, optimized geometry); ΔH_f (0 K) = 866 meV per atom; space group = P4/mmm; total energy = -4.154 eV per atom; total moment = 2.8 μB per cell
1.0
-1.893 -1.067 4.883
2.880 -3.744 0.298
3.795 3.090 2.146
Ga Bi Pd V
1 2 1 1
direct
0.000 0.000 0.000
0.000 0.000 0.500
0.500 0.000 0.000
0.500 0.500 0.500
0.000 0.500 0.000

Record 2
Ga2BiPdW (PBE, optimized geometry); ΔH_f (0 K) = 1927 meV per atom; space group = P4/mmm; total energy = -3.690 eV per atom; total moment = 0.0 μB per cell
1.0
5.215 0.000 0.000
0.000 4.961 0.000
0.000 0.000 5.215
Ga Pd Bi W
2 1 1 1
direct
0.000 0.000 0.500
0.500 0.000 0.000
0.000 0.500 0.000
0.000 0.000 0.000
0.500 0.500 0.500

Record 3
Pm3GaBi (PBE, optimized geometry); ΔH_f (0 K) = -521 meV per atom; offset from the most stable computed form = 0.0 meV/atom; space group = P2_1/m; total energy = -4.753 eV per atom; total moment = 0.0 μB per cell
1.0
-2.989 1.515 -5.510
-6.931 -7.583 1.675
-2.743 9.194 4.016
Pm Ga Bi
12 4 4
direct
0.000 0.250 0.250
0.000 0.750 0.750
0.500 0.250 0.250
0.500 0.750 0.750
0.250 0.629 0.370
0.750 0.371 0.630
0.750 0.871 0.130
0.250 0.129 0.870
0.750 0.932 0.568
0.250 0.068 0.432
0.250 0.568 0.932
0.750 0.432 0.068
0.250 0.401 0.098
0.750 0.599 0.902
0.750 0.099 0.402
0.250 0.901 0.598
0.750 0.575 0.424
0.250 0.425 0.576
0.250 0.925 0.076
0.750 0.075 0.924

Record 4
Pm4Ga2Bi (PBE, optimized geometry); ΔH_f (0 K) = -581 meV per atom; space group = I-42d; total energy = -4.715 eV per atom; total moment = 0.0 μB per cell
1.0
8.016 -1.081 -0.153
-1.658 7.917 0.156
-3.066 -3.524 6.605
Pm Ga Bi
8 4 2
direct
0.007 0.261 0.397
0.386 0.488 0.245
0.864 0.610 0.603
0.738 0.136 0.745
0.390 0.993 0.255
0.243 0.140 0.754
0.511 0.757 0.897
0.860 0.614 0.103
0.497 0.375 0.622
0.753 0.875 0.378
0.625 0.247 0.122
0.125 0.503 0.878
0.250 0.750 0.500
0.000 0.000 0.000

Record 5
Pm3GaBi2 (PBE, optimized geometry); ΔH_f (0 K) = -685 meV per atom; space group = Immm; total energy = -4.859 eV per atom; total moment = 0.0 μB per cell
1.0
-4.205 -0.943 -1.253
0.839 -6.052 1.741
-0.497 4.979 5.956
Pm Ga Bi
3 1 2
direct
0.338 0.338 0.676
0.000 0.000 0.000
0.662 0.662 0.324
0.000 0.500 0.000
0.670 0.170 0.340
0.330 0.830 0.660

Record 6
PmGaBi (PBE, optimized geometry); ΔH_f (0 K) = -424 meV per atom; offset from the most stable computed form = 0.0 meV/atom; space group = P3m1; total energy = -4.310 eV per atom; total moment = 0.0 μB per cell
1.0
-1.567 2.976 2.392
-4.492 -1.550 -1.014
2.391 -1.813 3.822
Bi Ga Pm
1 1 1
direct
0.760 0.333 0.667
0.942 0.000 0.000
0.298 0.667 0.333

Record 7
PmGaBi2 (PBE, optimized geometry); ΔH_f (0 K) = 6 meV per atom; offset from the most stable computed form = 426.9 meV/atom; space group = R-3m; total energy = -3.879 eV per atom; total moment = 0.0 μB per cell
1.0
5.056 0.000 0.000
2.528 4.379 0.000
2.528 1.460 8.199
Bi Ga Pm
2 1 1
direct
0.107 0.107 0.680
0.893 0.893 0.320
0.000 0.000 0.000
0.500 0.500 0.500

Record 8
PmGaBi2 (PBE, optimized geometry); ΔH_f (0 K) = -421 meV per atom; offset from the most stable computed form = 0.0 meV/atom; space group = P4/mmm; total energy = -4.306 eV per atom; total moment = 0.0 μB per cell
1.0
-4.234 -0.069 0.094
0.100 -0.399 4.216
-0.090 6.366 0.605
Bi Ga Pm
2 1 1
direct
0.000 0.000 0.752
0.000 0.000 0.248
0.500 0.500 0.000
0.500 0.500 0.500